La7Nd12Ho PBE-GGA relaxed; polymorph energy (0 for the lowest one) = 0.000 eV per atom; E = -4.63 eV/atom; DFT formation energy = 0.18 eV per atom
1.0
8.7172 5.0329 2.7705
-8.7172 5.0329 2.7705
0.0000 -10.0658 2.7705
La Nd Ho
7 12 1
Direct
0.0000 0.0000 0.0000 La
0.0719 0.4172 0.4172 La
0.4172 0.0719 0.4172 La
0.4172 0.4172 0.0719 La
0.5828 0.5828 0.9281 La
0.5828 0.9281 0.5828 La
0.9281 0.5828 0.5828 La
0.0000 0.2852 0.7148 Nd
0.0000 0.7148 0.2852 Nd
0.1621 0.1621 0.4872 Nd
0.1621 0.4872 0.1621 Nd
0.2852 0.0000 0.7148 Nd
0.2852 0.7148 0.0000 Nd
0.4872 0.1621 0.1621 Nd
0.5128 0.8379 0.8379 Nd
0.7148 0.0000 0.2852 Nd
0.7148 0.2852 0.0000 Nd
0.8379 0.5128 0.8379 Nd
0.8379 0.8379 0.5128 Nd
0.5000 0.5000 0.5000 Ho